[1]
Tb4Ta6O19: relaxed, PBE.

SG   I23
Crystal system   cubic

```
data_Tb4Ta6O19
_chemical_formula_sum 'Tb4 Ta6 O19'
_cell_length_a 7.917
_cell_length_b 7.917
_cell_length_c 7.917
_cell_angle_alpha 109.47
_cell_angle_beta 109.47
_cell_angle_gamma 109.47
_space_group_name_H-M_alt 'P 1'
_space_group_IT_number 1
_space_group_name_Hall 'P 1'
loop_
_atom_site_label
_atom_site_type_symbol
_atom_site_fract_x
_atom_site_fract_y
_atom_site_fract_z
_atom_site_occupancy
Tb1 Tb 0.000 0.000 0.712 1
Tb2 Tb 0.000 0.712 0.000 1
Tb3 Tb 0.288 0.288 0.288 1
Tb4 Tb 0.712 0.000 0.000 1
Ta1 Ta 0.347 0.500 0.847 1
Ta2 Ta 0.653 0.500 0.153 1
Ta3 Ta 0.153 0.653 0.500 1
Ta4 Ta 0.847 0.347 0.500 1
Ta5 Ta 0.500 0.847 0.347 1
Ta6 Ta 0.500 0.153 0.653 1
O1 O 0.672 0.000 0.672 1
O2 O 0.328 0.000 0.328 1
O3 O 0.328 0.328 0.000 1
O4 O 0.672 0.672 0.000 1
O5 O 0.000 0.672 0.672 1
O6 O 0.000 0.328 0.328 1
O7 O 0.000 0.000 0.000 1
O8 O 0.364 0.329 0.610 1
O9 O 0.636 0.246 0.965 1
O10 O 0.718 0.754 0.390 1
O11 O 0.965 0.636 0.246 1
O12 O 0.282 0.671 0.035 1
O13 O 0.610 0.364 0.329 1
O14 O 0.035 0.282 0.671 1
O15 O 0.390 0.718 0.754 1
O16 O 0.671 0.035 0.282 1
O17 O 0.246 0.965 0.636 1
O18 O 0.329 0.610 0.364 1
O19 O 0.754 0.390 0.718 1
```

[2]
TbTaTi2O8: relaxed, PBE.

SG   C2/m
Crystal system   monoclinic

```
data_TbTaTi2O8
_chemical_formula_sum 'Tb1 Ta1 Ti2 O8'
_cell_length_a 4.824
_cell_length_b 4.824
_cell_length_c 6.542
_cell_angle_alpha 87.11
_cell_angle_beta 87.11
_cell_angle_gamma 85.31
_space_group_name_H-M_alt 'P 1'
_space_group_IT_number 1
_space_group_name_Hall 'P 1'
loop_
_atom_site_label
_atom_site_type_symbol
_atom_site_fract_x
_atom_site_fract_y
_atom_site_fract_z
_atom_site_occupancy
Tb1 Tb 0.000 0.000 0.500 1
Ta1 Ta 0.000 0.000 0.000 1
Ti1 Ti 0.453 0.453 0.740 1
Ti2 Ti 0.547 0.547 0.260 1
O1 O 0.209 0.792 0.224 1
O2 O 0.716 0.716 0.030 1
O3 O 0.792 0.209 0.224 1
O4 O 0.791 0.208 0.776 1
O5 O 0.284 0.284 0.970 1
O6 O 0.208 0.791 0.776 1
O7 O 0.678 0.678 0.488 1
O8 O 0.322 0.322 0.512 1
```

[3]
TbTm2TaO8: relaxed, PBE.

SG   Cmmm
Crystal system   orthorhombic

```
data_TbTm2TaO8
_chemical_formula_sum 'Tb1 Tm2 Ta1 O8'
_cell_length_a 5.025
_cell_length_b 5.031
_cell_length_c 6.831
_cell_angle_alpha 90.00
_cell_angle_beta 90.00
_cell_angle_gamma 90.47
_space_group_name_H-M_alt 'P 1'
_space_group_IT_number 1
_space_group_name_Hall 'P 1'
loop_
_atom_site_label
_atom_site_type_symbol
_atom_site_fract_x
_atom_site_fract_y
_atom_site_fract_z
_atom_site_occupancy
Tb1 Tb 0.000 0.000 0.500 1
Tm1 Tm 0.500 0.500 0.753 1
Tm2 Tm 0.500 0.500 0.247 1
Ta1 Ta 0.000 0.000 0.000 1
O1 O 0.187 0.812 0.218 1
O2 O 0.716 0.717 0.000 1
O3 O 0.813 0.188 0.218 1
O4 O 0.813 0.188 0.782 1
O5 O 0.284 0.283 0.000 1
O6 O 0.187 0.812 0.782 1
O7 O 0.687 0.688 0.500 1
O8 O 0.313 0.312 0.500 1
```

[4]
TaTc3O: relaxed, PBE.

Energy above the lowest structure with this stoichiometry   2.576 eV/atom
SG   Pm-3m
Crystal system   cubic

```
data_TaTc3O
_chemical_formula_sum 'Ta1 Tc3 O1'
_cell_length_a 4.789
_cell_length_b 4.789
_cell_length_c 4.789
_cell_angle_alpha 90.00
_cell_angle_beta 90.00
_cell_angle_gamma 90.00
_space_group_name_H-M_alt 'P 1'
_space_group_IT_number 1
_space_group_name_Hall 'P 1'
loop_
_atom_site_label
_atom_site_type_symbol
_atom_site_fract_x
_atom_site_fract_y
_atom_site_fract_z
_atom_site_occupancy
Tc1 Tc 0.000 0.500 0.000 1
Tc2 Tc 0.000 0.000 0.500 1
Tc3 Tc 0.500 0.000 0.000 1
O1 O 0.500 0.500 0.500 1
Ta1 Ta 0.000 0.000 0.000 1
```

[5]
Ta3TcO: relaxed, PBE.

Energy above the lowest structure with this stoichiometry   2.129 eV/atom
SG   Pm-3m
Crystal system   cubic

```
data_Ta3TcO
_chemical_formula_sum 'Ta3 Tc1 O1'
_cell_length_a 4.795
_cell_length_b 4.795
_cell_length_c 4.795
_cell_angle_alpha 90.00
_cell_angle_beta 90.00
_cell_angle_gamma 90.00
_space_group_name_H-M_alt 'P 1'
_space_group_IT_number 1
_space_group_name_Hall 'P 1'
loop_
_atom_site_label
_atom_site_type_symbol
_atom_site_fract_x
_atom_site_fract_y
_atom_site_fract_z
_atom_site_occupancy
Tc1 Tc 0.000 0.000 0.000 1
O1 O 0.500 0.500 0.500 1
Ta1 Ta 0.000 0.500 0.000 1
Ta2 Ta 0.000 0.000 0.500 1
Ta3 Ta 0.500 0.000 0.000 1
```

[6]
TaTcO3: relaxed, PBE.

SG   Pm-3m
Crystal system   cubic

```
data_TaTcO3
_chemical_formula_sum 'Ta1 Tc1 O3'
_cell_length_a 3.865
_cell_length_b 3.865
_cell_length_c 3.865
_cell_angle_alpha 90.00
_cell_angle_beta 90.00
_cell_angle_gamma 90.00
_space_group_name_H-M_alt 'P 1'
_space_group_IT_number 1
_space_group_name_Hall 'P 1'
loop_
_atom_site_label
_atom_site_type_symbol
_atom_site_fract_x
_atom_site_fract_y
_atom_site_fract_z
_atom_site_occupancy
Tc1 Tc 0.000 0.000 0.000 1
O1 O 0.000 0.500 0.000 1
O2 O 0.000 0.000 0.500 1
O3 O 0.500 0.000 0.000 1
Ta1 Ta 0.500 0.500 0.500 1
```

[7]
TaTc2O6: relaxed, PBE.

SG   P4_2/mnm
Crystal system   tetragonal

```
data_TaTc2O6
_chemical_formula_sum 'Ta2 Tc4 O12'
_cell_length_a 4.893
_cell_length_b 4.893
_cell_length_c 8.504
_cell_angle_alpha 90.00
_cell_angle_beta 90.00
_cell_angle_gamma 90.00
_space_group_name_H-M_alt 'P 1'
_space_group_IT_number 1
_space_group_name_Hall 'P 1'
loop_
_atom_site_label
_atom_site_type_symbol
_atom_site_fract_x
_atom_site_fract_y
_atom_site_fract_z
_atom_site_occupancy
Ta1 Ta 0.500 0.500 0.000 1
Ta2 Ta 0.000 0.000 0.500 1
Tc1 Tc 0.500 0.500 0.328 1
Tc2 Tc 0.500 0.500 0.672 1
Tc3 Tc 0.000 0.000 0.172 1
Tc4 Tc 0.000 0.000 0.828 1
O1 O 0.714 0.714 0.167 1
O2 O 0.714 0.714 0.833 1
O3 O 0.711 0.711 0.500 1
O4 O 0.789 0.211 0.000 1
O5 O 0.786 0.214 0.333 1
O6 O 0.786 0.214 0.667 1
O7 O 0.214 0.786 0.333 1
O8 O 0.214 0.786 0.667 1
O9 O 0.211 0.789 0.000 1
O10 O 0.289 0.289 0.500 1
O11 O 0.286 0.286 0.167 1
O12 O 0.286 0.286 0.833 1
```

[8]
TaTcO3: relaxed, PBE.

SG   Pm-3m
Crystal system   cubic

```
data_TaTcO3
_chemical_formula_sum 'Ta1 Tc1 O3'
_cell_length_a 3.981
_cell_length_b 3.981
_cell_length_c 3.981
_cell_angle_alpha 90.00
_cell_angle_beta 90.00
_cell_angle_gamma 90.00
_space_group_name_H-M_alt 'P 1'
_space_group_IT_number 1
_space_group_name_Hall 'P 1'
loop_
_atom_site_label
_atom_site_type_symbol
_atom_site_fract_x
_atom_site_fract_y
_atom_site_fract_z
_atom_site_occupancy
Tc1 Tc 0.500 0.500 0.500 1
O1 O 0.000 0.500 0.000 1
O2 O 0.000 0.000 0.500 1
O3 O 0.500 0.000 0.000 1
Ta1 Ta 0.000 0.000 0.000 1
```

[9]
Ta3TcO: relaxed, PBE.

Energy above the lowest structure with this stoichiometry   0.000 eV/atom
SG   Pm-3m
Crystal system   cubic

```
data_Ta3TcO
_chemical_formula_sum 'Ta3 Tc1 O1'
_cell_length_a 4.229
_cell_length_b 4.229
_cell_length_c 4.229
_cell_angle_alpha 90.00
_cell_angle_beta 90.00
_cell_angle_gamma 90.00
_space_group_name_H-M_alt 'P 1'
_space_group_IT_number 1
_space_group_name_Hall 'P 1'
loop_
_atom_site_label
_atom_site_type_symbol
_atom_site_fract_x
_atom_site_fract_y
_atom_site_fract_z
_atom_site_occupancy
Tc1 Tc 0.500 0.500 0.500 1
O1 O 0.000 0.000 0.000 1
Ta1 Ta 0.000 0.500 0.000 1
Ta2 Ta 0.000 0.000 0.500 1
Ta3 Ta 0.500 0.000 0.000 1
```

[10]
TaTc3O: relaxed, PBE.

Energy above the lowest structure with this stoichiometry   0.000 eV/atom
SG   Pm-3m
Crystal system   cubic

```
data_TaTc3O
_chemical_formula_sum 'Ta1 Tc3 O1'
_cell_length_a 4.095
_cell_length_b 4.095
_cell_length_c 4.095
_cell_angle_alpha 90.00
_cell_angle_beta 90.00
_cell_angle_gamma 90.00
_space_group_name_H-M_alt 'P 1'
_space_group_IT_number 1
_space_group_name_Hall 'P 1'
loop_
_atom_site_label
_atom_site_type_symbol
_atom_site_fract_x
_atom_site_fract_y
_atom_site_fract_z
_atom_site_occupancy
Tc1 Tc 0.000 0.500 0.000 1
Tc2 Tc 0.000 0.000 0.500 1
Tc3 Tc 0.500 0.000 0.000 1
O1 O 0.000 0.000 0.000 1
Ta1 Ta 0.500 0.500 0.500 1
```

[11]
Ta2TiTcO: relaxed, PBE.

SG   P4/mmm
Crystal system   tetragonal

```
data_Ta2TiTcO
_chemical_formula_sum 'Ta2 Ti1 Tc1 O1'
_cell_length_a 4.798
_cell_length_b 4.668
_cell_length_c 4.798
_cell_angle_alpha 90.00
_cell_angle_beta 90.00
_cell_angle_gamma 90.00
_space_group_name_H-M_alt 'P 1'
_space_group_IT_number 1
_space_group_name_Hall 'P 1'
loop_
_atom_site_label
_atom_site_type_symbol
_atom_site_fract_x
_atom_site_fract_y
_atom_site_fract_z
_atom_site_occupancy
Ti1 Ti 0.000 0.500 0.000 1
Tc1 Tc 0.000 0.000 0.000 1
O1 O 0.500 0.500 0.500 1
Ta1 Ta 0.000 0.000 0.500 1
Ta2 Ta 0.500 0.000 0.000 1
```

no.,M_tot (μB per atom),raw total energy (eV/atom)
1,0.068,-9.297
2,0.000,-9.052
3,0.169,-8.367
4,1.212,-7.192
5,0.324,-8.557
6,0.000,-7.746
7,0.000,-8.735
8,0.838,-8.735
9,0.000,-10.686
10,0.000,-9.769
11,0.154,-8.015